Entry 1:
DFT (PBE) results for an optimized crystal structure of Tb2Y13.

Cell and atoms, written as POSCAR:
```
Tb2Y13
1.0
6.605 -0.211 0.673
-1.112 8.938 0.304
0.405 -3.985 8.078
Tb Y
2 13
direct
0.901 0.785 0.585
0.099 0.215 0.415
0.712 0.625 0.021
0.288 0.375 0.979
0.000 0.000 0.000
0.308 0.045 0.640
0.692 0.955 0.360
0.103 0.548 0.746
0.897 0.452 0.254
0.400 0.602 0.402
0.600 0.398 0.598
0.486 0.830 0.838
0.514 0.170 0.162
0.801 0.201 0.799
0.199 0.799 0.201
```

- Total moment: 0.000 μB per atom
- Relative energy among the computed polymorphs: 0.0 meV/atom
- Theoretical density: 5.061 Mg/m³

***

Entry 2:
DFT (PBE) results for an optimized crystal structure of YZr2Ni.

Cell and atoms, written as POSCAR:
```
YZr2Ni
1.0
-0.233 3.124 4.376
-5.010 1.876 0.590
1.896 -4.981 -0.751
Ni Y Zr
1 1 2
direct
0.500 0.500 0.000
0.750 0.250 0.500
0.000 0.000 0.000
0.250 0.750 0.500
```

- Total moment: 0.000 μB per atom
- Relative energy among the computed polymorphs: 341.8 meV/atom
- Theoretical density: 6.447 Mg/m³

***

Entry 3:
DFT (PBE) results for an optimized crystal structure of Zr2ScCdPd.

Cell and atoms, written as POSCAR:
```
Zr2ScCdPd
1.0
-2.246 4.047 -2.453
-3.450 0.211 3.508
2.988 3.318 2.739
Sc Zr Pd Cd
1 2 1 1
direct
0.500 0.500 0.500
0.000 0.000 0.500
0.500 0.000 0.000
0.000 0.500 0.000
0.000 0.000 0.000
```

- Total moment: 0.367 μB per atom
- Theoretical density: 5.483 Mg/m³
- E: -0.3685 Ry/atom

***

Entry 4:
DFT (PBE) results for an optimized crystal structure of Ac2PdPtRh.

Cell and atoms, written as POSCAR:
```
Ac2PdPtRh
1.0
-0.607 -3.313 -3.067
8.333 -1.817 0.314
-5.067 -3.856 5.169
Ac Pd Pt Rh
4 2 2 2
direct
0.750 0.734 0.626
0.750 0.733 0.107
0.250 0.266 0.374
0.250 0.267 0.893
0.250 0.626 0.313
0.750 0.374 0.687
0.250 0.914 0.957
0.750 0.086 0.043
0.250 0.567 0.784
0.750 0.433 0.216
```

- Total moment: 0.000 μB per atom
- Theoretical density: 10.192 Mg/m³
- E: -0.4495 Ry/atom